The following is a DFT calculation (PBE+U) of crystalline Tl3VAs2O8 at its relaxed geometry.

```
14
Lattice="5.704 0.000 0.000 -2.852 4.940 0.000 0.000 0.000 8.258" Properties=species:S:1:pos:R:3 pbc="T T T"
Tl 0.000 0.000 0.000
Tl 0.000 3.293 6.348
Tl 2.852 1.647 1.910
V 0.000 0.000 4.129
As 0.000 3.293 2.394
As 2.852 1.647 5.864
O 0.000 1.640 2.895
O -1.432 4.120 2.895
O 1.420 0.820 5.363
O 0.000 3.293 0.692
O 2.852 1.647 7.566
O 1.432 4.120 2.895
O 4.284 0.820 5.363
O 2.852 3.300 5.363
```

Size of the total moment = 2.0 μB/f.u.
SG = P-3m1 (164)
Energy = -80.3 eV/cell
Calculated volume = 233 Å³/f.u.